A geometry-optimized Tb3HoMg7 structure, computed with PBE.

Structure (POSCAR):
```
Tb3HoMg7
1.0
-2.1349 -0.4256 -2.4775
2.6228 -10.9414 1.8147
-12.2438 -1.1523 10.7485
Tb Mg Ho
6 14 2
Cartesian
-6.4139 -9.3580 4.9394 Tb
-8.4398 -6.1930 8.3365 Tb
-3.3160 -6.3264 1.7492 Tb
-0.0481 -2.6631 0.4990 Tb
-5.3419 -3.1614 5.1463 Tb
-11.7077 -9.8562 9.5868 Tb
-0.0961 -5.9377 1.1029 Mg
-7.3620 -6.1771 5.2100 Mg
-3.7746 -3.0378 1.5794 Mg
-0.7621 -8.5449 2.1247 Mg
-7.9812 -9.4815 8.5063 Mg
-11.6597 -6.5816 8.9829 Mg
0.5014 -11.0978 1.4745 Mg
-8.2005 -1.0398 5.0500 Mg
-3.5553 -11.4796 5.0358 Mg
-10.9937 -3.9744 7.9610 Mg
-8.7285 -3.7612 5.9725 Mg
-12.2572 -1.4216 8.6112 Mg
-3.0273 -8.7581 4.1132 Mg
-4.3938 -6.3422 4.8757 Mg
-2.6203 -11.3155 2.0068 Ho
-9.1355 -1.2039 8.0789 Ho
```

Values from the calculation:
SG: Cmcm (63)
Energy (eV per atom): -2.61
DOS at the Fermi energy (states/eV/atom): 0.874
ρ (g cm⁻³): 4.44
Calculated formation energy (meV/atom): 82
Offset from the most stable computed form (eV/f.u.): 0.00

---

A geometry-optimized TbHo6Mg structure, computed with PBE.

Structure (POSCAR):
```
TbHo6Mg
1.0
5.0912 -0.0001 1.3898
2.2362 5.6743 1.8286
0.3696 0.8011 8.6661
Ho Tb Mg
6 1 1
Cartesian
3.4289 5.3766 7.4793 Ho
4.2680 1.0987 4.4052 Ho
2.1550 2.5481 2.1256 Ho
5.5419 3.9272 9.7589 Ho
4.3514 4.6733 4.0997 Ho
3.3455 1.8020 7.7848 Ho
1.3029 3.2377 5.2474 Tb
0.0000 0.0000 0.0000 Mg
```

Values from the calculation:
SG: C2/m (12)
Energy (eV per atom): -4.17
DOS at the Fermi energy (states/eV/atom): 1.491
ρ (g cm⁻³): 8.03
Calculated formation energy (meV/atom): 39
Offset from the most stable computed form (eV/f.u.): 0.00

---

A geometry-optimized Tb2HoMg4 structure, computed with PBE.

Structure (POSCAR):
```
Tb2HoMg4
1.0
5.1264 0.0000 -1.6341
-0.5209 5.0999 -1.6341
-0.2256 -0.2498 8.1503
Mg Tb Ho
4 2 1
Cartesian
1.3340 4.3155 4.1847 Mg
3.0460 0.5346 0.6973 Mg
4.1576 1.7656 4.1847 Mg
0.2223 3.0845 0.6973 Mg
3.3399 3.6984 1.6194 Tb
1.0400 1.1517 3.2627 Tb
0.0000 0.0000 0.0000 Ho
```

Values from the calculation:
SG: I4/mmm (139)
Energy (eV per atom): -2.75
DOS at the Fermi energy (states/eV/atom): 0.856
ρ (g cm⁻³): 4.61
Calculated formation energy (meV/atom): 138
Offset from the most stable computed form (eV/f.u.): 0.00

---

A geometry-optimized Tb2HoMg6 structure, computed with PBE.

Structure (POSCAR):
```
Tb2HoMg6
1.0
5.3793 0.0000 0.0000
2.6896 7.9162 1.9116
2.6896 4.1042 7.0339
Tb Mg Ho
2 6 1
Cartesian
2.6896 1.2797 0.9524 Tb
8.0689 10.7406 7.9931 Tb
8.0689 7.4502 7.5160 Mg
2.6896 7.0511 3.0739 Mg
2.6896 4.9692 5.8716 Mg
2.6896 4.5701 1.4295 Mg
8.0689 9.3388 4.9783 Mg
2.6896 2.6815 3.9672 Mg
5.3793 6.0102 4.4727 Ho
```

Values from the calculation:
SG: Immm (71)
Energy (eV per atom): -2.44
DOS at the Fermi energy (states/eV/atom): 1.125
ρ (g cm⁻³): 4.06
Calculated formation energy (meV/atom): 163
Offset from the most stable computed form (eV/f.u.): 2.12